{
  "formula": "La2MgCu2",
  "functional": "GGA-PBEsol",
  "state": "optimized geometry",
  "m_tot_mub_per_fu": 0.0,
  "formation_enthalpy_0k_ev_per_atom": -0.154,
  "dos_at_fermi_per_ev_atom": 0.862,
  "spacegroup": "P4/mbm (127)",
  "cell": [[7.7962, 0.0000, 0.0000], [0.0000, 7.7962, 0.0000], [0.0000, 0.0000, 3.8493]],
  "species": ["La", "La", "La", "La", "Mg", "Mg", "Cu", "Cu", "Cu", "Cu"],
  "frac_coords": [[0.1712, 0.3288, 0.0000], [0.3288, 0.8288, 0.0000], [0.6712, 0.1712, 0.0000], [0.8288, 0.6712, 0.0000], [0.0000, 0.0000, 0.5000], [0.5000, 0.5000, 0.5000], [0.1205, 0.6205, 0.5000], [0.3795, 0.1205, 0.5000], [0.6205, 0.8795, 0.5000], [0.8795, 0.3795, 0.5000]]
}